First-principles (GGA-PBE) data for BaPdW after structural relaxation, as listed in the Alexandria database.

Computed properties:
Distance to the lowest polymorph of the same formula (meV/atom): 1466.3
Space-group type: P6_3/mmc (194)
Total energy (eV per atom): -4.968
Formation enthalpy at 0 K (eV per atom): 1.72
DOS at the Fermi energy (states/eV per cell): 6.0

Lattice parameters (Å, degrees): 5.623 5.623 9.648 90.00 90.00 120.00
Last column: magnetic moment on the atom in μB.
Fractional positions:
1 Pd 0.000 0.000 0.500  0.13
2 Ba 0.667 0.333 0.750  0.14
3 W 0.000 0.000 0.250  1.94
4 Ba 0.333 0.667 0.250  0.14
5 W 0.000 0.000 0.750  1.94
6 Pd 0.000 0.000 0.000  0.13

=====

First-principles (GGA-PBE) data for BaPdW after structural relaxation, as listed in the Alexandria database.

Computed properties:
Distance to the lowest polymorph of the same formula (meV/atom): 11.3
Space-group type: P1 (1)
Total energy (eV per atom): -6.423
Formation enthalpy at 0 K (eV per atom): 0.27
DOS at the Fermi energy (states/eV per cell): 4.3

Lattice parameters (Å, degrees): 4.394 11.418 4.395 78.99 59.99 90.17
Fractional positions:
1 W 0.302 0.873 0.933
2 Pd 0.679 0.000 0.181
3 Ba 0.072 0.176 0.398
4 Pd 0.591 0.745 0.351
5 Ba 0.865 0.570 0.802
6 W 0.969 0.873 0.599

=====

First-principles (GGA-PBE) data for BaPdW after structural relaxation, as listed in the Alexandria database.

Computed properties:
Distance to the lowest polymorph of the same formula (meV/atom): 119.6
Space-group type: P1 (1)
Total energy (eV per atom): -6.315
Formation enthalpy at 0 K (eV per atom): 0.37
DOS at the Fermi energy (states/eV per cell): 7.9

Lattice parameters (Å, degrees): 3.456 8.501 6.774 96.93 120.47 90.09
Fractional positions:
1 Pd 0.404 0.884 0.788
2 Pd 0.666 0.537 0.051
3 Ba 0.992 0.231 0.877
4 Ba 0.421 0.860 0.304
5 W 0.110 0.503 0.492
6 W 0.872 0.638 0.756

=====

First-principles (GGA-PBE) data for Ba3PdW after structural relaxation, as listed in the Alexandria database.

Computed properties:
Distance to the lowest polymorph of the same formula (meV/atom): 0.0
Space-group type: Pm-3m (221)
Total energy (eV per atom): -3.917
Formation enthalpy at 0 K (eV per atom): 0.87
DOS at the Fermi energy (states/eV per cell): 3.4

Lattice parameters (Å, degrees): 6.082 6.082 6.082 90.00 90.00 90.00
Last column: magnetic moment on the atom in μB.
Fractional positions:
1 Ba 0.000 0.000 0.500  0.02
2 Ba 0.000 0.500 0.000  0.01
3 W 0.500 0.500 0.500  3.21
4 Pd 0.000 0.000 0.000  0.04
5 Ba 0.500 0.000 0.000  0.02

=====

First-principles (GGA-PBE) data for BaPdW after structural relaxation, as listed in the Alexandria database.

Computed properties:
Distance to the lowest polymorph of the same formula (meV/atom): 145.8
Space-group type: P1 (1)
Total energy (eV per atom): -6.288
Formation enthalpy at 0 K (eV per atom): 0.40
DOS at the Fermi energy (states/eV per cell): 4.0

Lattice parameters (Å, degrees): 3.428 8.020 6.116 109.44 89.89 102.42
Fractional positions:
1 Ba 0.912 0.948 0.250
2 Ba 0.559 0.237 0.876
3 Pd 0.861 0.840 0.690
4 W 0.241 0.603 0.767
5 Pd 0.229 0.578 0.215
6 W 0.663 0.447 0.471

=====

First-principles (GGA-PBE) data for BaPdW after structural relaxation, as listed in the Alexandria database.

Computed properties:
Distance to the lowest polymorph of the same formula (meV/atom): 152.8
Space-group type: P1 (1)
Total energy (eV per atom): -6.281
Formation enthalpy at 0 K (eV per atom): 0.41
DOS at the Fermi energy (states/eV per cell): 1.2

Lattice parameters (Å, degrees): 3.271 8.426 5.926 105.47 75.72 82.85
Fractional positions:
1 Ba 0.675 0.951 0.246
2 W 0.839 0.443 0.467
3 W 0.156 0.600 0.776
4 Ba 0.913 0.236 0.885
5 Pd 0.353 0.593 0.204
6 Pd 0.607 0.830 0.691

=====

First-principles (GGA-PBE) data for BaPdW after structural relaxation, as listed in the Alexandria database.

Computed properties:
Distance to the lowest polymorph of the same formula (meV/atom): 43.4
Space-group type: P1 (1)
Total energy (eV per atom): -6.391
Formation enthalpy at 0 K (eV per atom): 0.30
DOS at the Fermi energy (states/eV per cell): 5.6

Lattice parameters (Å, degrees): 4.343 10.281 3.806 79.43 89.93 77.80
Fractional positions:
1 Pd 0.173 0.060 0.162
2 Ba 0.603 0.194 0.596
3 W 0.146 0.873 0.754
4 Ba 0.923 0.552 0.913
5 W 0.747 0.873 0.256
6 Pd 0.360 0.685 0.347

=====

First-principles (GGA-PBE) data for BaPdW after structural relaxation, as listed in the Alexandria database.

Computed properties:
Distance to the lowest polymorph of the same formula (meV/atom): 441.2
Space-group type: P6_3/mmc (194)
Total energy (eV per atom): -5.993
Formation enthalpy at 0 K (eV per atom): 0.70
DOS at the Fermi energy (states/eV per cell): 3.3

Lattice parameters (Å, degrees): 4.303 4.303 10.693 90.00 90.00 120.00
Fractional positions:
1 Pd 0.333 0.667 0.750
2 Pd 0.667 0.333 0.250
3 Ba 0.000 0.000 0.500
4 Ba 0.000 0.000 0.000
5 W 0.667 0.333 0.750
6 W 0.333 0.667 0.250

=====

Copy entry 6 word for word.
First-principles (GGA-PBE) data for BaPdW after structural relaxation, as listed in the Alexandria database.

Computed properties:
Distance to the lowest polymorph of the same formula (meV/atom): 152.8
Space-group type: P1 (1)
Total energy (eV per atom): -6.281
Formation enthalpy at 0 K (eV per atom): 0.41
DOS at the Fermi energy (states/eV per cell): 1.2

Lattice parameters (Å, degrees): 3.271 8.426 5.926 105.47 75.72 82.85
Fractional positions:
1 Ba 0.675 0.951 0.246
2 W 0.839 0.443 0.467
3 W 0.156 0.600 0.776
4 Ba 0.913 0.236 0.885
5 Pd 0.353 0.593 0.204
6 Pd 0.607 0.830 0.691